The following is a PBE-GGA calculation of NaIn2Ga3 after structural relaxation, from the Alexandria database.

Geometry as POSCAR:
```
NaIn2Ga3
1.0
8.084 -2.051 0.000
8.084 2.051 0.000
-4.101 0.000 8.728
Na In Ga
2 4 6
Direct
0.132 0.132 0.467
0.868 0.868 0.533
0.236 0.236 0.243
0.448 0.448 0.319
0.552 0.552 0.681
0.764 0.764 0.757
0.052 0.052 0.914
0.308 0.308 0.002
0.417 0.417 0.833
0.583 0.583 0.167
0.692 0.692 0.998
0.948 0.948 0.086
```

Values from the calculation:
The value obtained for the total moment is 0.000 μB/f.u. As for the space group: C2/m, No. 12. Its formation energy from the elements is -0.023 eV per atom.